Entry 1:
The following is a DFT calculation (GGA-PBE) of a geometry-optimized Ac8Si3Te4S structure.

The structure belongs to space group R-3m (No. 166, hexagonal axes); the cell edges are 9.1995, 9.1995 and 23.2245 Å and the angles 90.00°, 90.00° and 120.00°. The asymmetric unit holds Ac at (0.0000, 0.0000, 0.2413), Ac at (0.0038, 0.5019, 0.7594), Si at (0.0000, 0.5000, 0.5000), Te at (0.0000, 0.0000, 0.0000), Te at (0.0000, 0.5000, 0.0000) and S at (0.0000, 0.0000, 0.5000).

---

Entry 2:
The following is a DFT calculation (GGA-PBE) of a geometry-optimized AcTl2SiS4 structure.

The structure belongs to space group Imma (No. 74); the cell edges are 7.659, 9.037 and 11.881 Å and the angles 90.00°, 90.00° and 90.00°. The asymmetric unit holds Ac at (0.000, 0.000, 0.000), Tl at (0.000, 0.000, 0.500), Tl at (0.250, 0.250, 0.250), Si at (0.250, 0.250, 0.750), S at (0.000, 0.068, 0.754) and S at (0.241, 0.250, 0.951).

---

Energy relative to the elements, uncorrected readings, ordered: -1.29 -0.74 eV per atom